CrPO5, relaxed, DFT GGA+U; total DFT energy (no corrections) = -198.12 eV for the cell shown; SG = P-1, No. 2
1.0
7.0508 0.0000 0.0000
0.0058 7.2733 0.0000
2.5466 0.3669 6.9635
Cr P O
4 4 20
Cartesian
1.4761 2.0490 0.2779
3.2436 5.8617 3.1176
6.3596 1.7785 3.8459
8.1271 5.5912 6.6856
2.1225 0.8893 5.1235
3.9960 3.1036 1.8162
5.6073 4.5366 5.1473
7.4807 6.7509 1.8400
0.5234 2.7644 1.3088
1.3853 6.1170 2.8794
2.9296 2.0656 5.7298
1.2444 0.2299 0.7589
3.1501 7.2090 4.4588
2.9941 4.1124 2.4560
4.7412 3.8537 6.2161
3.1303 1.9682 1.1859
3.8763 6.5763 1.8644
4.7367 5.2003 4.0762
4.8666 2.4399 2.8873
5.7270 1.0639 5.0991
6.4730 5.6720 5.7776
4.8621 3.7865 0.7474
6.6092 3.5278 4.5075
6.4532 0.4312 2.5047
8.3588 7.4103 6.2046
6.6737 5.5746 1.2337
8.2180 1.5233 4.0841
9.0799 4.8758 5.6547